Entry 1:
# RbLiTc3 | the Alexandria database | PBE | relaxed
# E in eV for the cell shown: -23.60
data_RbLiTc3
_symmetry_space_group_name_H-M 'P m -3 m'
_symmetry_Int_Tables_number 221
_symmetry_space_group_name_Hall '-P 4 2 3'
_cell_length_a 4.600
_cell_length_b 4.600
_cell_length_c 4.600
_cell_angle_alpha 90.00
_cell_angle_beta 90.00
_cell_angle_gamma 90.00
loop_
_atom_site_label
_atom_site_fract_x
_atom_site_fract_y
_atom_site_fract_z
_atom_site_occupancy
Rb1 0.000 0.000 0.000 1
Li1 0.500 0.500 0.500 1
Tc1 0.000 0.500 0.500 1

Entry 2:
# RbLiTc3 | the Alexandria database | PBE | relaxed
# E in eV for the cell shown: -18.38
data_RbLiTc3
_symmetry_space_group_name_H-M 'P m -3 m'
_symmetry_Int_Tables_number 221
_symmetry_space_group_name_Hall '-P 4 2 3'
_cell_length_a 4.729
_cell_length_b 4.729
_cell_length_c 4.729
_cell_angle_alpha 90.00
_cell_angle_beta 90.00
_cell_angle_gamma 90.00
loop_
_atom_site_label
_atom_site_fract_x
_atom_site_fract_y
_atom_site_fract_z
_atom_site_occupancy
Rb1 0.000 0.000 0.000 1
Li1 0.500 0.500 0.500 1
Tc1 0.000 0.000 0.500 1

Entry 3:
# RbLi2Te2 | the Alexandria database | PBE | relaxed
# ΔE_f (raw) in eV per formula unit: -4.03
data_RbLi2Te2
_symmetry_space_group_name_H-M 'P 4/m b m'
_symmetry_Int_Tables_number 127
_symmetry_space_group_name_Hall '-P 4 2ab'
_cell_length_a 8.860
_cell_length_b 8.860
_cell_length_c 3.477
_cell_angle_alpha 90.00
_cell_angle_beta 90.00
_cell_angle_gamma 90.00
loop_
_atom_site_label
_atom_site_fract_x
_atom_site_fract_y
_atom_site_fract_z
_atom_site_occupancy
Rb1 0.000 0.000 0.000 1
Li1 0.118 0.382 0.000 1
Te1 0.166 0.666 0.500 1

Entry 4:
# RbLiTe2 | the Alexandria database | PBE | relaxed
# ΔE_f (raw) in eV per formula unit: -3.15
data_RbLiTe2
_symmetry_space_group_name_H-M 'P 1 21/c 1'
_symmetry_Int_Tables_number 14
_cell_length_a 10.402
_cell_length_b 5.195
_cell_length_c 13.022
_cell_angle_alpha 90.00
_cell_angle_beta 123.00
_cell_angle_gamma 90.00
loop_
_symmetry_equiv_pos_as_xyz
'x,y,z'
'-x,-y,-z'
'-x,y+1/2,-z+1/2'
'x,-y+1/2,z+1/2'
loop_
_atom_site_label
_atom_site_fract_x
_atom_site_fract_y
_atom_site_fract_z
_atom_site_occupancy
Rb1 0.185 0.032 0.443 1
Li1 0.417 0.190 0.260 1
Te1 0.139 0.552 0.640 1
Te2 0.403 0.680 0.340 1

Number 1: size of the total moment 1.269 μB/atom. Number 2: size of the total moment 0.763 μB/atom. Number 3: size of the total moment 0.000 μB/atom. Number 4: size of the total moment 0.000 μB/atom.